Record 1
# Tb2PrEr6Sc | Alexandria | PBE | relaxed
data_Tb2PrEr6Sc
_cell_length_a 9.037
_cell_length_b 14.791
_cell_length_c 9.373
_cell_angle_alpha 90.00
_cell_angle_beta 96.76
_cell_angle_gamma 90.00
_space_group_name_H-M_alt 'C 1 2/c 1'
_space_group_IT_number 15
loop_
_space_group_symop_operation_xyz
'x,y,z'
'-x,-y,-z'
'-x,y,-z+1/2'
'x,-y,z+1/2'
'x+1/2,y+1/2,z'
'-x+1/2,-y+1/2,-z'
'-x+1/2,y+1/2,-z+1/2'
'x+1/2,-y+1/2,z+1/2'
loop_
_atom_site_label
_atom_site_fract_x
_atom_site_fract_y
_atom_site_fract_z
Tb1 0.245 0.052 0.450
Pr1 0.000 0.476 0.250
Er1 0.062 0.312 0.942
Er2 0.098 0.109 0.115
Er3 0.216 0.278 0.312
Sc1 0.000 0.087 0.750
# - Mass density: 8.0 g cm⁻³
# - Formation energy from the elements: 0.128 eV per atom
# - Crystal system: monoclinic
# - Raw total energy: -0.342 Ry per atom
# - Spin magnetization: 0.0 μB/f.u.

Record 2
# Tb6Pr3Er2Sc | Alexandria | PBE | relaxed
data_Tb6Pr3Er2Sc
_cell_length_a 6.187
_cell_length_b 10.716
_cell_length_c 11.807
_cell_angle_alpha 90.00
_cell_angle_beta 100.06
_cell_angle_gamma 90.00
_space_group_name_H-M_alt 'C 1 2/m 1'
_space_group_IT_number 12
loop_
_space_group_symop_operation_xyz
'x,y,z'
'-x,-y,-z'
'-x,y,-z'
'x,-y,z'
'x+1/2,y+1/2,z'
'-x+1/2,-y+1/2,-z'
'-x+1/2,y+1/2,-z'
'x+1/2,-y+1/2,z'
loop_
_atom_site_label
_atom_site_fract_x
_atom_site_fract_y
_atom_site_fract_z
Tb1 0.246 0.165 0.242
Tb2 0.250 0.000 0.758
Pr1 0.000 0.167 0.500
Pr2 0.000 0.500 0.500
Er1 0.000 0.334 0.000
Sc1 0.000 0.000 0.000
# - Mass density: 7.6 g cm⁻³
# - Formation energy from the elements: 0.032 eV per atom
# - Crystal system: monoclinic
# - Raw total energy: -0.350 Ry per atom
# - Spin magnetization: 0.0 μB/f.u.

Record 3
# Tb2Pr5ErSc | Alexandria | PBE | relaxed
data_Tb2Pr5ErSc
_cell_length_a 5.415
_cell_length_b 21.993
_cell_length_c 10.306
_cell_angle_alpha 90.00
_cell_angle_beta 90.00
_cell_angle_gamma 90.00
_space_group_name_H-M_alt 'C m c 21'
_space_group_IT_number 36
loop_
_space_group_symop_operation_xyz
'x,y,z'
'-x,-y,z+1/2'
'-x,y,z'
'x,-y,z+1/2'
'x+1/2,y+1/2,z'
'-x+1/2,-y+1/2,z+1/2'
'-x+1/2,y+1/2,z'
'x+1/2,-y+1/2,z+1/2'
loop_
_atom_site_label
_atom_site_fract_x
_atom_site_fract_y
_atom_site_fract_z
Tb1 0.000 0.115 0.000
Tb2 0.000 0.115 0.495
Pr1 0.000 0.000 0.247
Pr2 0.000 0.278 0.559
Pr3 0.000 0.278 0.935
Pr4 0.000 0.372 0.247
Pr5 0.000 0.500 0.497
Er1 0.000 0.398 0.747
Sc1 0.000 0.211 0.247
# - Mass density: 6.7 g cm⁻³
# - Formation energy from the elements: 0.121 eV per atom
# - Crystal system: orthorhombic
# - Raw total energy: -0.351 Ry per atom
# - Spin magnetization: 0.0 μB/f.u.

Record 4
# TbPrEr3Sc | Alexandria | PBE | relaxed
data_TbPrEr3Sc
_cell_length_a 4.967
_cell_length_b 14.874
_cell_length_c 9.956
_cell_angle_alpha 90.00
_cell_angle_beta 90.00
_cell_angle_gamma 90.00
_space_group_name_H-M_alt 'C m c m'
_space_group_IT_number 63
_space_group_name_Hall '-C 2c 2'
loop_
_atom_site_label
_atom_site_fract_x
_atom_site_fract_y
_atom_site_fract_z
Tb1 0.000 0.000 0.000
Pr1 0.000 0.498 0.250
Er1 0.000 0.170 0.250
Er2 0.000 0.331 0.000
Sc1 0.000 0.169 0.750
# - Mass density: 7.6 g cm⁻³
# - Formation energy from the elements: 0.042 eV per atom
# - Crystal system: orthorhombic
# - Raw total energy: -0.357 Ry per atom
# - Spin magnetization: 0.0 μB/f.u.

Record 5
# Tb2PrErSc4 | Alexandria | PBE | relaxed
data_Tb2PrErSc4
_cell_length_a 6.544
_cell_length_b 11.316
_cell_length_c 12.690
_cell_angle_alpha 90.00
_cell_angle_beta 90.00
_cell_angle_gamma 90.00
_space_group_name_H-M_alt 'I m m a'
_space_group_IT_number 74
_space_group_name_Hall '-I 2b 2'
loop_
_atom_site_label
_atom_site_fract_x
_atom_site_fract_y
_atom_site_fract_z
Tb1 0.000 0.000 0.000
Tb2 0.250 0.250 0.250
Pr1 0.250 0.250 0.750
Er1 0.000 0.000 0.500
Sc1 0.000 0.002 0.251
Sc2 0.249 0.250 0.498
# - Mass density: 5.7 g cm⁻³
# - Formation energy from the elements: 0.435 eV per atom
# - Crystal system: orthorhombic
# - Raw total energy: -0.372 Ry per atom
# - Spin magnetization: 3.5 μB/f.u.

Record 6
# TbPrEr2Sc | Alexandria | PBE | relaxed
data_TbPrEr2Sc
_cell_length_a 7.834
_cell_length_b 4.982
_cell_length_c 7.849
_cell_angle_alpha 90.00
_cell_angle_beta 90.27
_cell_angle_gamma 90.00
_space_group_name_H-M_alt 'P 1 21/m 1'
_space_group_IT_number 11
loop_
_space_group_symop_operation_xyz
'x,y,z'
'-x,-y,-z'
'-x,y+1/2,-z'
'x,-y+1/2,z'
loop_
_atom_site_label
_atom_site_fract_x
_atom_site_fract_y
_atom_site_fract_z
Tb1 0.054 0.250 0.347
Pr1 0.255 0.250 0.758
Er1 0.159 0.750 0.053
Er2 0.352 0.750 0.452
Sc1 0.451 0.250 0.150
# - Mass density: 7.4 g cm⁻³
# - Formation energy from the elements: 0.045 eV per atom
# - Crystal system: monoclinic
# - Raw total energy: -0.362 Ry per atom
# - Spin magnetization: 0.0 μB/f.u.

- Number 4 is which compound?
  TbPrEr3Sc

- Number 4 is which compound?
  TbPrEr3Sc

- mass density of number 1 (Tb2PrEr6Sc)?
  8.0 g cm⁻³

- Look up the mass density of the fifth one.
  5.7 g cm⁻³